DFT (GGA+U) results for crystalline ZnFeO2 at its relaxed geometry.

The space group is P2_1/c (No. 14) and the conventional cell measures 5.380, 3.089 and 5.348 Å, with angles of 90.00, 110.21 and 90.00 degrees. Symmetry generates all atoms from Zn at (0.000, 0.000, 0.000), Fe at (0.500, 0.000, 0.500) and O at (0.246, 0.025, 0.758).

The value obtained for the total DFT energy (no corrections) is -5.53 eV per atom. As for the volume: 10.43 A^3/atom.